Entry 1:
A plane-wave DFT calculation with PBE-GGA was carried out for a relaxed LiY2P3Pt4 crystal.

Space-group type: No. 115
Final energy in eV per formula unit: -65.0
V in Å³ per cell: 170
Energy of formation in meV/atom: -979

abc: 4.134 4.134 9.945
angles: 90.00 90.00 90.00
Fractional positions:
Y (0.500, 0.000, 0.243)
Y (0.000, 0.500, 0.757)
P (0.000, 0.500, 0.140)
P (0.000, 0.000, 0.500)
P (0.500, 0.000, 0.860)
Pt (0.500, 0.500, 0.000)
Pt (0.000, 0.000, 0.000)
Pt (0.000, 0.500, 0.372)
Pt (0.500, 0.000, 0.628)
Li (0.500, 0.500, 0.500)

Entry 2:
A plane-wave DFT calculation with PBE-GGA was carried out for a relaxed Cd7AgHg4 crystal.

Space-group type: No. 2
Final energy in eV per formula unit: -10.0
V in Å³ per cell: 286
Energy of formation in meV/atom: 38

abc: 6.272 5.585 9.042
angles: 110.88 102.22 78.27
Fractional positions:
Hg (0.254, 0.246, 0.308)
Hg (0.746, 0.754, 0.692)
Hg (0.262, 0.551, 0.695)
Hg (0.738, 0.449, 0.305)
Cd (0.327, 0.813, 0.457)
Cd (0.500, 0.000, 0.000)
Cd (0.115, 0.131, 0.745)
Cd (0.722, 0.443, 0.929)
Cd (0.885, 0.869, 0.255)
Cd (0.278, 0.557, 0.071)
Cd (0.673, 0.187, 0.543)
Ag (0.000, 0.000, 0.000)

Entry 3:
A plane-wave DFT calculation with PBE-GGA was carried out for a relaxed Te2RuSe crystal.

Space-group type: No. 12
Final energy in eV per formula unit: -18.7
V in Å³ per cell: 92
Raw formation energy in eV/atom: 0.0748

abc: 3.980 3.980 7.627
angles: 83.96 83.96 50.29
Fractional positions:
Ru (0.750, 0.750, 0.750)
Se (0.250, 0.250, 0.250)
Te (0.032, 0.032, 0.955)
Te (0.468, 0.468, 0.545)

Entry 4:
A plane-wave DFT calculation with PBE-GGA was carried out for a relaxed CuSbIr2 crystal.

Space-group type: No. 160
Final energy in eV per formula unit: -24.2
V in Å³ per cell: 65
Raw formation energy in eV/atom: 0.4270

abc: 8.787 8.787 8.787
angles: 19.36 19.36 19.36
Fractional positions:
Ir (0.253, 0.253, 0.253)
Ir (0.001, 0.001, 0.001)
Sb (0.500, 0.500, 0.500)
Cu (0.746, 0.746, 0.746)

Entry 5:
A plane-wave DFT calculation with PBE-GGA was carried out for a relaxed LaTbNdMg crystal.

Space-group type: No. 99
Final energy in eV per formula unit: -16.1
V in Å³ per cell: 128
Relative energy among the computed polymorphs in meV/atom: 0.0
Energy of formation in meV/atom: -33

abc: 3.755 3.755 9.056
angles: 90.00 90.00 90.00
Fractional positions:
Nd (0.500, 0.500, 0.349)
La (0.000, 0.000, 0.066)
Tb (0.500, 0.500, 0.792)
Mg (0.000, 0.000, 0.578)

Entry 6:
A plane-wave DFT calculation with PBE-GGA was carried out for a relaxed Cs2AlSnS4 crystal.

Space-group type: No. 70
Final energy in eV per formula unit: -33.6
V in Å³ per cell: 576
Raw formation energy in eV/atom: -0.9520

abc: 6.327 7.905 12.960
angles: 84.40 75.87 66.41
Fractional positions:
Cs (0.821, 0.000, 0.357)
Cs (0.571, 0.500, 0.857)
Cs (0.929, 0.500, 0.143)
Cs (0.179, 0.000, 0.643)
S (0.858, 0.816, 0.899)
S (0.892, 0.684, 0.601)
S (0.327, 0.816, 0.101)
S (0.243, 0.184, 0.899)
S (0.178, 0.316, 0.399)
S (0.507, 0.316, 0.601)
S (0.572, 0.184, 0.101)
S (0.423, 0.684, 0.399)
Al (0.500, 0.000, 0.000)
Al (0.250, 0.500, 0.500)
Sn (0.750, 0.500, 0.500)
Sn (0.000, 0.000, 0.000)

Entry 7:
A plane-wave DFT calculation with PBE-GGA was carried out for a relaxed TbPm2ErBi5 crystal.

Space-group type: No. 123
Final energy in eV per formula unit: -38.7
V in Å³ per cell: 352
Energy of formation in meV/atom: -67

abc: 5.451 5.451 11.861
angles: 90.00 90.00 90.00
Fractional positions:
Bi (0.500, 0.500, 0.000)
Bi (0.000, 0.000, 0.755)
Bi (0.000, 0.000, 0.245)
Bi (0.500, 0.000, 0.500)
Bi (0.000, 0.500, 0.500)
Tb (0.000, 0.000, 0.500)
Er (0.000, 0.000, 0.000)
Pm (0.500, 0.500, 0.725)
Pm (0.500, 0.500, 0.275)

Entry 8:
A plane-wave DFT calculation with PBE-GGA was carried out for a relaxed NaSr6Li6 crystal.

Space-group type: No. 71
Final energy in eV per formula unit: -21.9
V in Å³ per cell: 507
Energy of formation in meV/atom: 73

abc: 6.965 9.215 9.215
angles: 82.13 67.80 67.80
Fractional positions:
Li (0.500, 0.000, 0.500)
Li (0.000, 0.000, 0.500)
Li (0.000, 0.500, 0.000)
Li (0.500, 0.500, 0.000)
Li (0.500, 0.245, 0.755)
Li (0.500, 0.755, 0.245)
Sr (0.000, 0.674, 0.326)
Sr (0.664, 0.336, 0.336)
Sr (0.336, 0.664, 0.664)
Sr (0.670, 0.830, 0.830)
Sr (0.000, 0.326, 0.674)
Sr (0.330, 0.170, 0.170)
Na (0.000, 0.000, 0.000)

Entry 9:
A plane-wave DFT calculation with PBE-GGA was carried out for a relaxed CeIn2Ga crystal.

Space-group type: No. 123
Final energy in eV per formula unit: -16.1
V in Å³ per cell: 97
Relative energy among the computed polymorphs in meV/atom: 0.0
Energy of formation in meV/atom: -418

abc: 4.738 4.523 4.523
angles: 90.00 90.00 90.00
Fractional positions:
Ga (0.500, 0.000, 0.000)
Ce (0.500, 0.500, 0.500)
In (0.000, 0.500, 0.000)
In (0.000, 0.000, 0.500)

Entry 10:
A plane-wave DFT calculation with PBE-GGA was carried out for a relaxed CdAgBPb2 crystal.

Space-group type: No. 123
Final energy in eV per formula unit: -14.0
V in Å³ per cell: 135
Energy of formation in meV/atom: 776

abc: 5.700 4.141 5.700
angles: 90.00 90.00 90.00
Fractional positions:
B (0.000, 0.500, 0.000)
Cd (0.500, 0.500, 0.500)
Pb (0.500, 0.000, 0.000)
Pb (0.000, 0.000, 0.500)
Ag (0.000, 0.000, 0.000)

Entry 11:
A plane-wave DFT calculation with PBE-GGA was carried out for a relaxed BaNdCdPb crystal.

Space-group type: No. 216
Final energy in eV per formula unit: -12.7
V in Å³ per cell: 136
Energy of formation in meV/atom: -350

abc: 5.773 5.773 5.773
angles: 60.00 60.00 60.00
Fractional positions:
Pb (0.250, 0.250, 0.250)
Ba (0.000, 0.000, 0.000)
Nd (0.500, 0.500, 0.500)
Cd (0.750, 0.750, 0.750)

Entry 12:
A plane-wave DFT calculation with PBE-GGA was carried out for a relaxed Cd2TeAu crystal.

Space-group type: No. 10
Final energy in eV per formula unit: -8.5
V in Å³ per cell: 97
Raw formation energy in eV/atom: -0.0505

abc: 4.067 4.140 6.363
angles: 65.02 90.00 90.00
Fractional positions:
Au (0.500, 0.750, 0.750)
Te (0.500, 0.250, 0.250)
Cd (0.000, 0.523, 0.513)
Cd (0.000, 0.977, 0.987)